(1)
SmErNiHg PBE-GGA relaxed; energy = -16.70 eV per cell; DOS(E_F) = 2.80 states/eV per cell; crystal system = cubic; energy of formation = -335 meV per atom
1.0
5.080 0.000 0.000
2.540 4.400 0.000
2.540 1.467 4.148
Sm Er Ni Hg
1 1 1 1
direct
0.250 0.250 0.250 Sm
0.750 0.750 0.750 Er
0.500 0.500 0.500 Ni
0.000 0.000 0.000 Hg

***

(2)
Hf2CuGe PBE-GGA relaxed; energy = -60.95 eV per cell; DOS(E_F) = 6.66 states/eV per cell; crystal system = monoclinic; energy of formation = -464 meV per atom
1.0
-0.998 3.160 1.832
-1.532 -2.932 4.222
7.248 1.915 0.644
Hf Ge Cu
4 2 2
direct
0.750 0.208 0.920 Hf
0.250 0.798 0.569 Hf
0.250 0.792 0.080 Hf
0.750 0.202 0.431 Hf
0.250 0.343 0.209 Ge
0.750 0.657 0.791 Ge
0.250 0.347 0.710 Cu
0.750 0.653 0.290 Cu